Entry 1:
Computed, not measured: MnTlTe after structural relaxation at the GGA-PBE level of DFT.

The structure in CIF format:
```
data_MnTlTe
_chemical_formula_sum 'Mn6 Tl6 Te6'
_cell_length_a 3.9813
_cell_length_b 3.9813
_cell_length_c 35.9364
_cell_angle_alpha 90.00
_cell_angle_beta 90.00
_cell_angle_gamma 120.00
_symmetry_space_group_name_H-M 'R -3 m'
_symmetry_Int_Tables_number 166
_symmetry_space_group_name_Hall '-R 3 2"'
loop_
_atom_site_label
_atom_site_fract_x
_atom_site_fract_y
_atom_site_fract_z
Mn1 0.0000 0.0000 0.1464
Tl1 0.0000 0.0000 0.3700
Te1 0.0000 0.0000 0.2212
```

Values from the calculation:
For the total DFT energy (no corrections), the calculation gives -4.835 eV per atom. As for the crystal system: trigonal. The value obtained for the density is 7.8 g/cm3. The formation energy without anion corrections comes out at 57 meV/atom. The value obtained for the calculated volume is 27.406 Å³/atom.

Entry 2:
Computed, not measured: Pb3Se2S after structural relaxation at the GGA-PBE level of DFT.

The structure in CIF format:
```
data_Pb3Se2S
_chemical_formula_sum 'Pb6 Se4 S2'
_cell_length_a 4.3336
_cell_length_b 6.1445
_cell_length_c 13.0410
_cell_angle_alpha 90.00
_cell_angle_beta 90.00
_cell_angle_gamma 90.00
_symmetry_space_group_name_H-M 'I m m m'
_symmetry_Int_Tables_number 71
_symmetry_space_group_name_Hall '-I 2 2'
loop_
_atom_site_label
_atom_site_fract_x
_atom_site_fract_y
_atom_site_fract_z
Pb1 0.0000 0.0000 0.0000
Pb2 0.0000 0.0000 0.3397
Se1 0.0000 0.5000 0.3317
S1 0.0000 0.5000 0.0000
```

Values from the calculation:
For the total DFT energy (no corrections), the calculation gives -4.256 eV per atom. As for the crystal system: orthorhombic. The value obtained for the density is 7.8 g/cm3. The formation energy without anion corrections comes out at -552 meV/atom. The value obtained for the calculated volume is 28.938 Å³/atom.

Entry 3:
Computed, not measured: Al8Fe2Pd after structural relaxation at the GGA-PBE level of DFT.

The structure in CIF format:
```
data_Al8Fe2Pd
_chemical_formula_sum 'Al16 Fe4 Pd2'
_cell_length_a 13.5359
_cell_length_b 5.1896
_cell_length_c 4.6295
_cell_angle_alpha 90.00
_cell_angle_beta 93.18
_cell_angle_gamma 90.00
_symmetry_space_group_name_H-M 'C 1 2 1'
_symmetry_Int_Tables_number 5
_symmetry_space_group_name_Hall 'C 2y'
loop_
_atom_site_label
_atom_site_fract_x
_atom_site_fract_y
_atom_site_fract_z
Al1 0.0000 0.0000 0.0000
Al2 0.0000 0.2726 0.5000
Al3 0.1219 0.5749 0.1957
Al4 0.1826 0.8511 0.7319
Al5 0.1955 0.3379 0.7435
Fe1 0.1528 0.1031 0.2535
Pd1 0.0000 0.7712 0.5000
```

Values from the calculation:
For the total DFT energy (no corrections), the calculation gives -5.054 eV per atom. Its formation energy is -321.7 meV per atom. As for the crystal system: monoclinic. The value obtained for the density is 4.4 g/cm3. The value obtained for the calculated volume is 14.759 Å³/atom.

Entry 4:
Computed, not measured: Be2TeRu after structural relaxation at the GGA-PBE level of DFT.

The structure in CIF format:
```
data_Be2TeRu
_chemical_formula_sum 'Be2 Te1 Ru1'
_cell_length_a 3.1150
_cell_length_b 3.0918
_cell_length_c 5.8188
_cell_angle_alpha 90.00
_cell_angle_beta 90.17
_cell_angle_gamma 90.00
_symmetry_space_group_name_H-M 'P 1 2/m 1'
_symmetry_Int_Tables_number 10
_symmetry_space_group_name_Hall '-P 2y'
loop_
_atom_site_label
_atom_site_fract_x
_atom_site_fract_y
_atom_site_fract_z
Be1 0.0009 0.0000 0.1753
Te1 0.5000 0.5000 0.5000
Ru1 0.5000 0.5000 0.0000
```

Values from the calculation:
For the total DFT energy (no corrections), the calculation gives -4.863 eV per atom. As for the crystal system: monoclinic. The value obtained for the density is 7.3 g/cm3. The formation energy without anion corrections comes out at 105 meV/atom. The value obtained for the calculated volume is 14.010 Å³/atom.

Entry 5:
Computed, not measured: Ba2PrTl3 after structural relaxation at the GGA-PBE level of DFT.

The structure in CIF format:
```
data_Ba2PrTl3
_chemical_formula_sum 'Ba2 Pr1 Tl3'
_cell_length_a 4.1103
_cell_length_b 4.1103
_cell_length_c 12.8897
_cell_angle_alpha 90.00
_cell_angle_beta 90.00
_cell_angle_gamma 90.00
_symmetry_space_group_name_H-M 'P 4/m m m'
_symmetry_Int_Tables_number 123
_symmetry_space_group_name_Hall '-P 4 2'
loop_
_atom_site_label
_atom_site_fract_x
_atom_site_fract_y
_atom_site_fract_z
Ba1 0.0000 0.0000 0.1781
Pr1 0.0000 0.0000 0.5000
Tl1 0.5000 0.5000 0.0000
Tl2 0.5000 0.5000 0.3605
```

Values from the calculation:
For the total DFT energy (no corrections), the calculation gives -3.006 eV per atom. Its formation energy is -385.1 meV per atom. As for the crystal system: tetragonal. The value obtained for the density is 7.8 g/cm3. The value obtained for the calculated volume is 36.294 Å³/atom.

Entry 6:
Computed, not measured: Bi2SO5 after structural relaxation at the GGA-PBE level of DFT.

The structure in CIF format:
```
data_Bi2SO5
_chemical_formula_sum 'Bi2 S1 O5'
_cell_length_a 4.1618
_cell_length_b 4.2696
_cell_length_c 7.1615
_cell_angle_alpha 106.40
_cell_angle_beta 99.82
_cell_angle_gamma 90.84
_symmetry_space_group_name_H-M 'P 1'
_symmetry_Int_Tables_number 1
_symmetry_space_group_name_Hall 'P 1'
loop_
_atom_site_label
_atom_site_fract_x
_atom_site_fract_y
_atom_site_fract_z
Bi1 0.0000 0.0000 0.0000
Bi2 0.4434 0.2943 0.6514
S1 0.7561 0.5505 0.3605
O1 0.1212 0.4875 0.3787
O2 0.5095 0.8335 0.8110
O3 0.6227 0.3671 0.1372
O4 0.7325 0.9095 0.3756
O5 0.9919 0.3427 0.8205
```

Values from the calculation:
For the total DFT energy (no corrections), the calculation gives -5.820 eV per atom. As for the crystal system: triclinic. The value obtained for the density is 7.3 g/cm3. The formation energy without anion corrections comes out at -1235 meV/atom. The value obtained for the calculated volume is 15.003 Å³/atom.

Entry 7:
Computed, not measured: Sr6PtAu3 after structural relaxation at the GGA-PBE level of DFT.

The structure in CIF format:
```
data_Sr6PtAu3
_chemical_formula_sum 'Sr12 Pt2 Au6'
_cell_length_a 7.5977
_cell_length_b 8.3289
_cell_length_c 13.4195
_cell_angle_alpha 90.00
_cell_angle_beta 123.40
_cell_angle_gamma 90.00
_symmetry_space_group_name_H-M 'P 1 21/c 1'
_symmetry_Int_Tables_number 14
_symmetry_space_group_name_Hall '-P 2ybc'
loop_
_atom_site_label
_atom_site_fract_x
_atom_site_fract_y
_atom_site_fract_z
Sr1 0.0865 0.0519 0.2449
Sr2 0.2365 0.6860 0.0731
Sr3 0.3916 0.1737 0.0691
Pt1 0.0000 0.0000 0.0000
Au1 0.3027 0.1091 0.7532
Au2 0.5000 0.0000 0.5000
```

Values from the calculation:
For the total DFT energy (no corrections), the calculation gives -3.266 eV per atom. Its formation energy is -669.8 meV per atom. As for the crystal system: monoclinic. The value obtained for the density is 6.1 g/cm3. The value obtained for the calculated volume is 35.449 Å³/atom.

Entry 8:
Computed, not measured: SrZr2Te after structural relaxation at the GGA-PBE level of DFT.

The structure in CIF format:
```
data_SrZr2Te
_chemical_formula_sum 'Sr2 Zr4 Te2'
_cell_length_a 9.7435
_cell_length_b 3.6725
_cell_length_c 6.8770
_cell_angle_alpha 90.00
_cell_angle_beta 99.96
_cell_angle_gamma 90.00
_symmetry_space_group_name_H-M 'C 1 m 1'
_symmetry_Int_Tables_number 8
_symmetry_space_group_name_Hall 'C -2y'
loop_
_atom_site_label
_atom_site_fract_x
_atom_site_fract_y
_atom_site_fract_z
Sr1 0.0000 0.0000 0.0000
Zr1 0.2178 0.0000 0.6238
Zr2 0.4741 0.0000 0.5303
Te1 0.2488 0.5000 0.2960
```

Values from the calculation:
For the total DFT energy (no corrections), the calculation gives -5.629 eV per atom. As for the crystal system: monoclinic. The value obtained for the density is 5.4 g/cm3. The formation energy without anion corrections comes out at -149 meV/atom. The value obtained for the calculated volume is 30.296 Å³/atom.